VASP calculation (PBE-GGA) on crystalline FeSiCl2 at its relaxed geometry.

a = 4.6131 Å, b = 4.6131 Å, c = 4.6131 Å
α = 60.00°, β = 60.00°, γ = 60.00°
Last column: magnetic moment on the atom in μB.
Fractional coordinates of all 4 atoms:
Fe  0.5000  0.5000  0.5000  2.99
Cl  0.2500  0.2500  0.2500  0.04
Cl  0.7500  0.7500  0.7500  0.04
Si  0.0000  0.0000  0.0000  -0.09

Computed properties:
* symmetry: Fm-3m (225)
* relative energy among the computed polymorphs: 3.29 eV/f.u.
* magnetic moment: 2.9 μB per cell

VASP calculation (PBE-GGA) on crystalline FeSiCl at its relaxed geometry.

a = 3.0911 Å, b = 3.0911 Å, c = 10.7100 Å
α = 90.00°, β = 90.00°, γ = 90.00°
Last column: magnetic moment on the atom in μB.
Fractional coordinates of all 6 atoms:
Fe  0.5000  0.5000  0.8198  1.96
Si  0.0000  0.0000  0.9002  -0.07
Si  0.5000  0.5000  0.4002  -0.07
Fe  0.0000  0.0000  0.3198  1.96
Cl  0.0000  0.0000  0.1051  0.04
Cl  0.5000  0.5000  0.6051  0.04

Computed properties:
* symmetry: I4mm (107)
* relative energy among the computed polymorphs: 0.83 eV/f.u.
* magnetic moment: 3.8 μB per cell

VASP calculation (PBE-GGA) on crystalline FeSiCl2 at its relaxed geometry.

a = 6.5773 Å, b = 6.5773 Å, c = 6.5773 Å
α = 147.85°, β = 147.85°, γ = 46.10°
Last column: magnetic moment on the atom in μB.
Fractional coordinates of all 4 atoms:
Cl  0.2500  0.7500  0.5000  -0.01
Si  0.7500  0.2500  0.5000  -0.06
Cl  0.0000  0.0000  0.0000  0.04
Fe  0.5000  0.5000  0.0000  3.08

Computed properties:
* symmetry: I-4m2 (119)
* relative energy among the computed polymorphs: 3.32 eV/f.u.
* magnetic moment: 3.0 μB per cell

VASP calculation (PBE-GGA) on crystalline FeSi4Cl at its relaxed geometry.

a = 5.1261 Å, b = 5.1261 Å, c = 5.1261 Å
α = 60.00°, β = 60.00°, γ = 60.00°
Last column: magnetic moment on the atom in μB.
Fractional coordinates of all 6 atoms:
Cl  0.7500  0.7500  0.7500  0.03
Si  0.3764  0.3764  0.8709  0.02
Fe  0.0000  0.0000  0.0000  3.10
Si  0.3764  0.8709  0.3764  0.02
Si  0.8709  0.3764  0.3764  0.02
Si  0.3764  0.3764  0.3764  0.02

Computed properties:
* symmetry: F-43m (216)
* magnetic moment: 3.3 μB per cell

Number 1: ΔE_f (raw) 489 meV per atom. Number 2: ΔE_f (raw) -74 meV per atom. Number 3: ΔE_f (raw) 495 meV per atom. Number 4: ΔE_f (raw) 607 meV per atom.